Record 1
This record from OQMD describes a relaxed AcFePb crystal. The functional is GGA-PBE.

Lattice parameters (Å, degrees): 4.950 4.950 4.950 60.00 60.00 60.00
Sites, in units of the cell vectors:
Ac: 0.250 0.250 0.250
Fe: 0.000 0.000 0.000
Pb: 0.750 0.750 0.750

Computed properties:
**SG**: No. 216
**E_tot**: -5.23 eV/atom
**M_tot**: 2.98 μB per formula unit

Record 2
This record from OQMD describes a relaxed AcSmPO crystal. The functional is GGA-PBE.

Lattice parameters (Å, degrees): 4.303 8.235 5.815 90.00 90.00 90.00
Sites, in units of the cell vectors:
Ac: 0.500 0.625 0.472
Ac: 0.500 0.375 0.972
O: 0.500 0.314 0.404
O: 0.500 0.686 0.904
P: 0.000 0.856 0.437
P: 0.000 0.144 0.937
Sm: 0.000 0.190 0.441
Sm: 0.000 0.810 0.941

Computed properties:
**SG**: No. 26
**ΔE to the lowest computed polymorph**: 79 meV per atom
**M_tot**: 0.54 μB per formula unit

Record 3
This record from OQMD describes a relaxed PuGaGe crystal. The functional is GGA-PBE.

Lattice parameters (Å, degrees): 4.623 4.623 4.623 60.00 60.00 60.00
Sites, in units of the cell vectors:
Ga: 0.250 0.250 0.250
Ge: 0.000 0.000 0.000
Pu: 0.750 0.750 0.750

Computed properties:
**SG**: No. 216
**E_tot**: -7.47 eV/atom
**M_tot**: 5.93 μB per formula unit

Record 4
This record from OQMD describes a relaxed Ag10Sb crystal. The functional is GGA-PBE.

Lattice parameters (Å, degrees): 4.960 4.960 31.790 90.35 90.35 48.09
Sites, in units of the cell vectors:
Ag: 0.860 0.860 0.210
Ag: 0.551 0.551 0.244
Ag: 0.251 0.251 0.275
Ag: 0.950 0.950 0.305
Ag: 0.647 0.647 0.335
Ag: 0.348 0.348 0.365
Ag: 0.048 0.048 0.396
Ag: 0.749 0.749 0.425
Ag: 0.449 0.449 0.455
Ag: 0.150 0.150 0.485
Ag: 0.850 0.850 0.515
Ag: 0.551 0.551 0.545
Ag: 0.251 0.251 0.575
Ag: 0.952 0.952 0.604
Ag: 0.652 0.652 0.635
Ag: 0.353 0.353 0.665
Ag: 0.050 0.050 0.695
Ag: 0.749 0.749 0.725
Ag: 0.449 0.449 0.756
Ag: 0.140 0.140 0.790
Sb: 0.160 0.160 0.185
Sb: 0.840 0.840 0.815

Computed properties:
**SG**: No. 12
**E_tot**: -2.90 eV/atom

Record 5
This record from OQMD describes a relaxed AcGdAsO crystal. The functional is GGA-PBE.

Lattice parameters (Å, degrees): 4.556 4.556 9.494 90.00 90.00 90.00
Sites, in units of the cell vectors:
Ac: 0.250 0.250 0.117
Ac: 0.750 0.750 0.883
As: 0.750 0.750 0.313
As: 0.250 0.250 0.687
Gd: 0.750 0.250 0.500
Gd: 0.250 0.750 0.500
O: 0.750 0.250 0.000
O: 0.250 0.750 0.000

Computed properties:
**SG**: No. 129
**ΔE to the lowest computed polymorph**: 41 meV per atom
**M_tot**: 0.68 μB per formula unit

Record 6
This record from OQMD describes a relaxed CsAgGeSe3 crystal. The functional is GGA-PBE.

Lattice parameters (Å, degrees): 9.223 4.057 10.249 90.00 113.03 90.00
Sites, in units of the cell vectors:
Ag: 0.054 0.250 0.098
Ag: 0.946 0.750 0.902
Cs: 0.766 0.750 0.225
Cs: 0.234 0.250 0.775
Ge: 0.333 0.750 0.368
Ge: 0.667 0.250 0.632
Se: 0.251 0.750 0.094
Se: 0.529 0.250 0.365
Se: 0.145 0.250 0.375
Se: 0.855 0.750 0.625
Se: 0.471 0.750 0.635
Se: 0.749 0.250 0.906

Computed properties:
**SG**: No. 11
**ΔE to the lowest computed polymorph**: 0 meV per atom